# PBE-GGA Ti8Bi2Pt, relaxed
data_Ti8Bi2Pt
_space_group_name_H-M_alt 'P 1'
_space_group_IT_number 1
_cell_length_a 8.217
_cell_length_b 8.217
_cell_length_c 5.360
_cell_angle_alpha 93.42
_cell_angle_beta 93.42
_cell_angle_gamma 33.58
loop_
_space_group_symop_operation_xyz
'x,y,z'
loop_
_atom_site_label
_atom_site_type_symbol
_atom_site_fract_x
_atom_site_fract_y
_atom_site_fract_z
Ti1 Ti 0.044 0.044 0.270
Ti2 Ti 0.234 0.234 0.342
Ti3 Ti 0.338 0.338 0.877
Ti4 Ti 0.418 0.418 0.448
Ti5 Ti 0.582 0.582 0.552
Ti6 Ti 0.662 0.662 0.123
Ti7 Ti 0.766 0.766 0.658
Ti8 Ti 0.956 0.956 0.730
Bi1 Bi 0.152 0.152 0.805
Bi2 Bi 0.848 0.848 0.195
Pt1 Pt 0.500 0.500 0.000
# magnetization = 0.00 μB/f.u.
# formation energy from the elements = -0.23 eV per atom
# SG = C2/m, No. 12
# raw total energy = -7.23 eV per atom
# calculated volume = 200 Å³/cell